DFT (GGA-PBE) results for a relaxed structure of Pm3Ho5Th2.

Unit cell a=8.9666 b=8.9528 c=11.1834 alpha=120.78 beta=120.81 gamma=73.86
Fractional coordinates of all 20 atoms:
1 Ho 0.7212 0.4712 0.9424
2 Th 0.7587 0.0095 0.7430
3 Pm 0.2681 0.5164 0.7457
4 Ho 0.1341 0.3872 0.2704
5 Th 0.5157 0.2665 0.2570
6 Ho 0.6363 0.8832 0.2704
7 Pm 0.7776 0.0276 0.0553
8 Ho 0.2788 0.5288 0.0576
9 Pm 0.2224 0.9724 0.9447
10 Ho 0.8659 0.6128 0.7296
11 Pm 0.0224 0.7708 0.2543
12 Th 0.2413 0.9905 0.2570
13 Ho 0.9692 0.2192 0.4384
14 Ho 0.5328 0.2828 0.5657
15 Th 0.4843 0.7335 0.7430
16 Ho 0.0308 0.7808 0.5616
17 Pm 0.7319 0.4836 0.2543
18 Ho 0.4672 0.7172 0.4343
19 Pm 0.9776 0.2292 0.7457
20 Ho 0.3637 0.1168 0.7296

Computed properties:
Formation enthalpy at 0 K (eV/atom): 0.21
Total energy (eV/atom): -4.987
Space-group type: C2/c, No. 15

***

DFT (GGA-PBE) results for a relaxed structure of Mn2Fe2Rh.

Unit cell a=6.6965 b=6.6965 c=2.5535 alpha=90.00 beta=90.00 gamma=90.00
Fractional coordinates of all 10 atoms:
1 Mn 0.8789 0.6211 0.0000
2 Rh 0.0000 0.0000 0.0000
3 Fe 0.8276 0.3276 0.5000
4 Mn 0.1211 0.3789 0.0000
5 Fe 0.6724 0.8276 0.5000
6 Fe 0.3276 0.1724 0.5000
7 Mn 0.3789 0.8789 0.0000
8 Mn 0.6211 0.1211 0.0000
9 Fe 0.1724 0.6724 0.5000
10 Rh 0.5000 0.5000 0.0000

Computed properties:
E above lowest polymorph (meV/atom): 41
Formation enthalpy at 0 K (eV/atom): 0.17
Total energy (eV/atom): -8.352
Space-group type: P4/mbm, No. 127

***

DFT (GGA-PBE) results for a relaxed structure of La2CePaN4.

Unit cell a=3.6160 b=6.2563 c=6.3311 alpha=109.17 beta=90.00 gamma=90.00
Fractional coordinates of all 8 atoms:
1 N 0.5000 0.2229 0.2083
2 N 0.0000 0.2460 0.7871
3 Pa 0.0000 0.0000 0.0000
4 La 0.5000 0.0000 0.5000
5 N 0.0000 0.7540 0.2129
6 N 0.5000 0.7771 0.7917
7 La 0.0000 0.5000 0.5000
8 Ce 0.5000 0.5000 0.0000

Computed properties:
ΔE_f (raw) (eV/atom): -1.520
Total energy (eV/atom): -8.844
Space-group type: P2/m, No. 10

***

DFT (GGA-PBE) results for a relaxed structure of HfTl3Se.

Unit cell a=5.5550 b=5.5550 c=5.5550 alpha=90.00 beta=90.00 gamma=90.00
Fractional coordinates of all 5 atoms:
1 Tl 0.0000 0.5000 0.0000
2 Hf 0.5000 0.5000 0.5000
3 Tl 0.0000 0.0000 0.5000
4 Tl 0.5000 0.0000 0.0000
5 Se 0.0000 0.0000 0.0000

Computed properties:
ΔE_f (raw) (eV/atom): 0.916
E above lowest polymorph (meV/atom): 251
Total energy (eV/atom): -3.191
Space-group type: Pm-3m, No. 221

***

DFT (GGA-PBE) results for a relaxed structure of Tm12Co6Si.

Unit cell a=8.1663 b=8.1663 c=8.1663 alpha=109.47 beta=109.47 gamma=109.47
Fractional coordinates of all 19 atoms:
1 Tm 0.7013 0.5074 0.8061
2 Tm 0.2987 0.4926 0.1939
3 Si 0.0000 0.0000 0.0000
4 Tm 0.1939 0.2987 0.4926
5 Co 0.5000 0.8850 0.3850
6 Co 0.3850 0.5000 0.8850
7 Tm 0.4926 0.1939 0.2987
8 Tm 0.2987 0.1048 0.8061
9 Tm 0.8952 0.1939 0.7013
10 Tm 0.7013 0.8952 0.1939
11 Tm 0.1048 0.8061 0.2987
12 Co 0.8850 0.3850 0.5000
13 Co 0.6150 0.5000 0.1150
14 Tm 0.5074 0.8061 0.7013
15 Tm 0.8061 0.2987 0.1048
16 Tm 0.8061 0.7013 0.5074
17 Co 0.1150 0.6150 0.5000
18 Tm 0.1939 0.7013 0.8952
19 Co 0.5000 0.1150 0.6150

Computed properties:
ΔE_f (raw) (eV/atom): -0.284
Total energy (eV/atom): -5.638
Space-group type: Im-3, No. 204

***

DFT (GGA-PBE) results for a relaxed structure of BaCrSi2.

Unit cell a=3.7149 b=3.9573 c=6.4023 alpha=89.96 beta=90.00 gamma=90.00
Fractional coordinates of all 4 atoms:
1 Cr 0.5000 0.6253 0.9359
2 Si 0.0000 0.1252 0.9314
3 Ba 0.0000 0.6246 0.4580
4 Si 0.5000 0.1250 0.1747

Computed properties:
ΔE_f (raw) (eV/atom): 0.006
E above lowest polymorph (meV/atom): 141
Total energy (eV/atom): -5.592
Space-group type: Pmm2, No. 25

***

DFT (GGA-PBE) results for a relaxed structure of Ho3MgHg5.

Unit cell a=6.2380 b=8.9777 c=8.9775 alpha=120.00 beta=90.00 gamma=90.00
Fractional coordinates of all 18 atoms:
1 Hg 0.0000 0.6667 0.3333
2 Hg 0.7500 0.0000 0.3000
3 Ho 0.2500 0.3599 0.0000
4 Ho 0.7500 0.0000 0.6401
5 Ho 0.2500 0.0000 0.3599
6 Hg 0.2500 0.3000 0.3000
7 Hg 0.5000 0.6667 0.3333
8 Hg 0.7500 0.3000 0.0000
9 Mg 0.5000 0.0000 0.0000
10 Hg 0.7500 0.7000 0.7000
11 Hg 0.2500 0.0000 0.7000
12 Hg 0.2500 0.7000 0.0000
13 Ho 0.7500 0.3599 0.3599
14 Ho 0.7500 0.6401 0.0000
15 Ho 0.2500 0.6401 0.6401
16 Hg 0.0000 0.3333 0.6667
17 Mg 0.0000 0.0000 0.0000
18 Hg 0.5000 0.3333 0.6667

Computed properties:
Formation enthalpy at 0 K (eV/atom): -0.42
Total energy (eV/atom): -2.287
Space-group type: P6_3/mcm, No. 193

***

DFT (GGA-PBE) results for a relaxed structure of Ce3URu3.

Unit cell a=5.2531 b=8.4885 c=8.4885 alpha=120.00 beta=90.00 gamma=90.00
Fractional coordinates of all 14 atoms:
1 Ru 0.2500 0.5892 0.5680
2 Ru 0.2500 0.4320 0.0212
3 U 0.2500 0.6667 0.3333
4 Ce 0.2500 0.0534 0.7760
5 Ce 0.2500 0.7226 0.9466
6 Ce 0.7500 0.9466 0.2240
7 U 0.7500 0.3333 0.6667
8 Ru 0.7500 0.5680 0.9788
9 Ru 0.7500 0.0212 0.5892
10 Ce 0.7500 0.2774 0.0534
11 Ce 0.7500 0.7760 0.7226
12 Ce 0.2500 0.2240 0.2774
13 Ru 0.7500 0.4108 0.4320
14 Ru 0.2500 0.9788 0.4108

Computed properties:
E above lowest polymorph (meV/atom): 125
Formation enthalpy at 0 K (eV/atom): -0.15
Total energy (eV/atom): -8.281
Space-group type: P6_3/m, No. 176

***

Question: The highest total energy belongs to which entry?
Answer: Ho3MgHg5

***

Please write out number 4 again, unchanged.
DFT (GGA-PBE) results for a relaxed structure of HfTl3Se.

Unit cell a=5.5550 b=5.5550 c=5.5550 alpha=90.00 beta=90.00 gamma=90.00
Fractional coordinates of all 5 atoms:
1 Tl 0.0000 0.5000 0.0000
2 Hf 0.5000 0.5000 0.5000
3 Tl 0.0000 0.0000 0.5000
4 Tl 0.5000 0.0000 0.0000
5 Se 0.0000 0.0000 0.0000

Computed properties:
ΔE_f (raw) (eV/atom): 0.916
E above lowest polymorph (meV/atom): 251
Total energy (eV/atom): -3.191
Space-group type: Pm-3m, No. 221

***

Question: Among the records above, which one has the highest total energy?
Answer: Ho3MgHg5

***

Question: What is the total energy in the fifth record?
Answer: -5.638 eV/atom